# 1
The following is a PBE-GGA calculation of a relaxed structure of LiTc2Ag, from Alexandria via LeMat-Bulk.

Properties
ΔE_f: 0.101 eV/atom
N(E_F): 1.33 states/eV/f.u.
raw total energy: -6.273 eV/atom
spin magnetization: 0.000 μB/f.u.

Cell: 9.454 9.454 9.454 Å, 16.85 16.85 16.85°
Positions (direct):
Ag1 0.499 0.499 0.499
Li1 0.748 0.748 0.748
Tc1 0.996 0.996 0.996
Tc2 0.257 0.257 0.257

***

# 2
The following is a PBE-GGA calculation of a relaxed structure of LiTc2Ag, from Alexandria via LeMat-Bulk.

Properties
ΔE_f: 0.562 eV/atom
N(E_F): 2.93 states/eV/f.u.
raw total energy: -5.812 eV/atom
spin magnetization: 0.000 μB/f.u.

Cell: 3.319 3.319 5.413 Å, 90.00 90.00 90.00°
Positions (direct):
Ag1 0.500 0.500 0.250
Li1 0.500 0.500 0.750
Tc1 0.000 0.000 0.952
Tc2 0.000 0.000 0.548

***

# 3
The following is a PBE-GGA calculation of a relaxed structure of LiTc3Ag, from Alexandria via LeMat-Bulk.

Properties
ΔE_f: 1.309 eV/atom
N(E_F): 5.95 states/eV/f.u.
raw total energy: -5.863 eV/atom
spin magnetization: 0.000 μB/f.u.

Cell: 4.169 4.169 4.169 Å, 90.00 90.00 90.00°
Positions (direct):
Tc1 0.000 0.500 0.000
Tc2 0.000 0.000 0.500
Tc3 0.500 0.000 0.000
Ag1 0.500 0.500 0.500
Li1 0.000 0.000 0.000

***

# 4
The following is a PBE-GGA calculation of a relaxed structure of LiTc2Ag, from Alexandria via LeMat-Bulk.

Properties
ΔE_f: 0.463 eV/atom
N(E_F): 4.05 states/eV/f.u.
raw total energy: -5.911 eV/atom
spin magnetization: 0.000 μB/f.u.

Cell: 2.586 2.586 9.430 Å, 90.00 90.00 104.63°
Positions (direct):
Ag1 0.500 0.500 0.250
Li1 0.500 0.500 0.750
Tc1 0.000 0.000 0.993
Tc2 0.000 0.000 0.507

***

# 5
The following is a PBE-GGA calculation of a relaxed structure of LiTc2Ag, from Alexandria via LeMat-Bulk.

Properties
ΔE_f: 0.541 eV/atom
N(E_F): 2.60 states/eV/f.u.
raw total energy: -5.833 eV/atom
spin magnetization: 0.000 μB/f.u.

Cell: 3.547 3.547 10.405 Å, 80.19 80.19 90.00°
Positions (direct):
Tc1 0.607 0.125 0.250
Tc2 0.143 0.625 0.250
Tc3 0.375 0.393 0.750
Tc4 0.875 0.857 0.750
Ag1 0.000 0.000 0.000
Ag2 0.750 0.250 0.500
Li1 0.500 0.500 0.000
Li2 0.250 0.750 0.500

***

# 6
The following is a PBE-GGA calculation of a relaxed structure of LiTc2Ag, from Alexandria via LeMat-Bulk.

Properties
ΔE_f: 0.347 eV/atom
N(E_F): 2.22 states/eV/f.u.
raw total energy: -6.027 eV/atom
spin magnetization: 0.000 μB/f.u.

Cell: 2.636 4.549 4.997 Å, 90.00 90.00 90.00°
Positions (direct):
Ag1 0.500 0.500 0.250
Li1 0.500 0.500 0.750
Tc1 0.000 0.000 0.980
Tc2 0.000 0.000 0.520

***

# 7
The following is a PBE-GGA calculation of a relaxed structure of Li3TcAg, from Alexandria via LeMat-Bulk.

Properties
ΔE_f: 1.029 eV/atom
N(E_F): 8.76 states/eV/f.u.
raw total energy: -2.763 eV/atom
spin magnetization: 0.000 μB/f.u.

Cell: 4.455 4.455 4.455 Å, 90.00 90.00 90.00°
Positions (direct):
Tc1 0.500 0.500 0.500
Ag1 0.000 0.000 0.000
Li1 0.000 0.500 0.000
Li2 0.000 0.000 0.500
Li3 0.500 0.000 0.000

***

# 8
The following is a PBE-GGA calculation of a relaxed structure of LiTc3Ag, from Alexandria via LeMat-Bulk.

Properties
ΔE_f: 2.379 eV/atom
N(E_F): 7.59 states/eV/f.u.
raw total energy: -4.794 eV/atom
spin magnetization: 9.295 μB/f.u.

Cell: 5.009 5.009 5.009 Å, 90.00 90.00 90.00°
Positions (direct):
Tc1 0.000 0.500 0.000
Tc2 0.000 0.000 0.500
Tc3 0.500 0.000 0.000
Ag1 0.000 0.000 0.000
Li1 0.500 0.500 0.500

***

# 9
The following is a PBE-GGA calculation of a relaxed structure of LiTc2Ag, from Alexandria via LeMat-Bulk.

Properties
ΔE_f: 0.217 eV/atom
N(E_F): 3.13 states/eV/f.u.
raw total energy: -6.157 eV/atom
spin magnetization: 0.000 μB/f.u.

Cell: 2.702 2.702 9.374 Å, 90.00 90.00 115.15°
Positions (direct):
Ag1 0.000 0.000 0.506
Li1 0.500 0.500 0.757
Tc1 0.000 0.000 0.005
Tc2 0.500 0.500 0.233

***

# 10
The following is a PBE-GGA calculation of a relaxed structure of LiTc2Ag, from Alexandria via LeMat-Bulk.

Properties
ΔE_f: 0.347 eV/atom
N(E_F): 2.17 states/eV/f.u.
raw total energy: -6.027 eV/atom
spin magnetization: 0.000 μB/f.u.

Cell: 4.796 2.624 4.894 Å, 79.28 90.00 90.00°
Positions (direct):
Ag1 0.500 0.250 0.250
Li1 0.500 0.750 0.750
Tc1 0.000 0.038 0.988
Tc2 0.000 0.462 0.512

***

# 11
The following is a PBE-GGA calculation of a relaxed structure of LiTc2Ag, from Alexandria via LeMat-Bulk.

Properties
ΔE_f: 0.261 eV/atom
N(E_F): 2.74 states/eV/f.u.
raw total energy: -6.113 eV/atom
spin magnetization: 0.000 μB/f.u.

Cell: 4.267 2.629 5.500 Å, 80.60 90.00 90.00°
Positions (direct):
Ag1 0.000 0.531 0.530
Li1 0.500 0.792 0.738
Tc1 0.000 0.988 0.021
Tc2 0.500 0.189 0.210

***

# 12
The following is a PBE-GGA calculation of a relaxed structure of LiTc2Ag, from Alexandria via LeMat-Bulk.

Properties
ΔE_f: 0.389 eV/atom
N(E_F): 2.96 states/eV/f.u.
raw total energy: -5.985 eV/atom
spin magnetization: 0.000 μB/f.u.

Cell: 4.620 4.620 4.620 Å, 132.17 122.64 77.83°
Positions (direct):
Ag1 0.510 0.510 0.000
Li1 0.750 0.250 0.500
Tc1 0.008 0.008 0.000
Tc2 0.232 0.732 0.500

***

# 13
The following is a PBE-GGA calculation of a relaxed structure of Li2TcAgTe, from Alexandria via LeMat-Bulk.

Properties
E_form (uncorrected): 0.78 eV/atom
N(E_F): 3.56 states/eV/f.u.
raw total energy: -3.260 eV/atom
spin magnetization: 3.658 μB/f.u.

Cell: 4.561 5.493 4.561 Å, 90.00 90.00 90.00°
Positions (direct):
Te1 0.000 0.500 0.000
Tc1 0.500 0.500 0.500
Ag1 0.000 0.000 0.000
Li1 0.000 0.000 0.500
Li2 0.500 0.000 0.000

***

# 14
The following is a PBE-GGA calculation of a relaxed structure of LiAg2Te, from Alexandria via LeMat-Bulk.

Properties
E_form (uncorrected): -0.12 eV/atom
N(E_F): 1.66 states/eV/f.u.
raw total energy: -2.812 eV/atom
spin magnetization: 0.000 μB/f.u.

Cell: 3.520 4.047 5.769 Å, 90.00 90.00 90.00°
Positions (direct):
Ag1 0.000 0.000 0.011
Ag2 0.000 0.000 0.489
Li1 0.500 0.500 0.250
Te1 0.500 0.500 0.750

***

# 15
The following is a PBE-GGA calculation of a relaxed structure of LiAgTe, from Alexandria via LeMat-Bulk.

Properties
E_form (uncorrected): -0.10 eV/atom
N(E_F): 1.12 states/eV/f.u.
raw total energy: -2.735 eV/atom
spin magnetization: 0.000 μB/f.u.

Cell: 3.262 3.262 7.078 Å, 90.00 90.00 120.00°
Positions (direct):
Ag1 0.000 0.000 0.031
Li1 0.667 0.333 0.329
Te1 0.333 0.667 0.640